Density functional theory data (PBE) for a relaxed structure of RbScV3.

Summary:
The volume is 132 Å³/f.u. The calculation puts the formation energy at 1.822 eV per atom. For the total energy, the calculation gives -5.1093 eV/atom. For the total magnetic moment, the calculation gives 7.65 Bohr magnetons per cell. The space group is No. 221. As for the energy above the most stable polymorph in this dataset: 0.000 eV per atom.

Cell: 5.093 5.093 5.093 Å, 90.00 90.00 90.00°
Fractional positions:
Rb1 0.000 0.000 0.000
Sc1 0.500 0.500 0.500
V1 0.000 0.500 0.500
V2 0.500 0.000 0.500
V3 0.500 0.500 0.000

Density functional theory data (PBE) for a relaxed structure of VCrIrRu.

Summary:
The volume is 54 Å³/f.u. The calculation puts the formation energy at -0.176 eV per atom. For the total energy, the calculation gives -9.3961 eV/atom. For the total magnetic moment, the calculation gives 0.91 Bohr magnetons per cell. The space group is No. 119.

Cell: 4.532 4.532 4.532 Å, 129.52 129.52 74.17°
Fractional positions:
V1 0.000 0.000 0.000
Cr1 0.500 0.500 0.000
Ir1 0.250 0.750 0.500
Ru1 0.750 0.250 0.500

Density functional theory data (PBE) for a relaxed structure of Li2PaGe.

Summary:
The volume is 82 Å³/f.u. The calculation puts the formation energy at 0.133 eV per atom. For the total energy, the calculation gives -4.3527 eV/atom. For the total magnetic moment, the calculation gives 0.00 Bohr magnetons per cell. The space group is No. 166.

Cell: 10.883 10.883 10.883 Å, 15.72 15.72 15.72°
Fractional positions:
Li1 0.098 0.098 0.098
Li2 0.902 0.902 0.902
Pa1 0.000 0.000 0.000
Ge1 0.500 0.500 0.500

Q: volume of number 2 (VCrIrRu)?
A: 54 Å³/f.u.

Q: Which of these has the highest volume?
A: RbScV3

Q: Number 3 is which compound?
A: Li2PaGe